1.
# GGA-PBE NiPd6Au5, relaxed
# Raw total energy (eV per atom): -4.474
# Fermi-level density of states (states/eV/cell): 28.0
# Total magnetic moment (μB per cell): 2.62
# ρ (g cm⁻³): 14.351
data_NiPd6Au5
_cell_length_a 8.968
_cell_length_b 12.066
_cell_length_c 4.020
_cell_angle_alpha 90.00
_cell_angle_beta 116.52
_cell_angle_gamma 90.00
_symmetry_space_group_name_H-M 'C 1 2/m 1'
_symmetry_Int_Tables_number 12
loop_
_symmetry_equiv_pos_as_xyz
'x,y,z'
'-x,-y,-z'
'-x,y,-z'
'x,-y,z'
'x+1/2,y+1/2,z'
'-x+1/2,-y+1/2,-z'
'-x+1/2,y+1/2,-z'
'x+1/2,-y+1/2,z'
loop_
_atom_site_label
_atom_site_type_symbol
_atom_site_fract_x
_atom_site_fract_y
_atom_site_fract_z
Ni1 Ni 0.000 0.000 0.000
Pd1 Pd 0.241 0.000 0.741
Pd2 Pd 0.245 0.164 0.245
Au1 Au 0.000 0.163 0.500
Au2 Au 0.000 0.334 0.000
Au3 Au 0.000 0.500 0.500

2.
# GGA-PBE NiPd3Au2, relaxed
# Raw total energy (eV per atom): -4.657
# Fermi-level density of states (states/eV/cell): 32.6
# Total magnetic moment (μB per cell): 5.18
# ρ (g cm⁻³): 13.623
data_NiPd3Au2
_cell_length_a 4.021
_cell_length_b 12.123
_cell_length_c 7.721
_cell_angle_alpha 90.00
_cell_angle_beta 90.00
_cell_angle_gamma 90.00
_symmetry_space_group_name_H-M 'C m m m'
_symmetry_Int_Tables_number 65
_symmetry_space_group_name_Hall '-C 2 2'
loop_
_atom_site_label
_atom_site_type_symbol
_atom_site_fract_x
_atom_site_fract_y
_atom_site_fract_z
Ni1 Ni 0.000 0.168 0.000
Pd1 Pd 0.000 0.000 0.240
Pd2 Pd 0.000 0.329 0.229
Au1 Au 0.000 0.167 0.500
Au2 Au 0.000 0.500 0.000
Au3 Au 0.000 0.500 0.500

3.
# GGA-PBE Ni2Pd5Au5, relaxed
# Raw total energy (eV per atom): -4.501
# Fermi-level density of states (states/eV/cell): 33.3
# Total magnetic moment (μB per cell): 3.44
# ρ (g cm⁻³): 14.266
data_Ni2Pd5Au5
_cell_length_a 12.093
_cell_length_b 3.982
_cell_length_c 8.883
_cell_angle_alpha 90.00
_cell_angle_beta 117.19
_cell_angle_gamma 90.00
_symmetry_space_group_name_H-M 'C 1 2/m 1'
_symmetry_Int_Tables_number 12
loop_
_symmetry_equiv_pos_as_xyz
'x,y,z'
'-x,-y,-z'
'-x,y,-z'
'x,-y,z'
'x+1/2,y+1/2,z'
'-x+1/2,-y+1/2,-z'
'-x+1/2,y+1/2,-z'
'x+1/2,-y+1/2,z'
loop_
_atom_site_label
_atom_site_type_symbol
_atom_site_fract_x
_atom_site_fract_y
_atom_site_fract_z
Ni1 Ni 0.170 0.000 0.499
Pd1 Pd 0.000 0.500 0.500
Pd2 Pd 0.091 0.500 0.266
Pd3 Pd 0.167 0.500 0.000
Au1 Au 0.000 0.000 0.000
Au2 Au 0.079 0.000 0.742
Au3 Au 0.248 0.500 0.736

4.
# GGA-PBE NiPd6Au3, relaxed
# Excess energy over the best structure of this formula in the dataset (meV per atom): 0
# Fermi-level density of states (states/eV/cell): 29.5
# Total magnetic moment (μB per cell): 3.93
# ρ (g cm⁻³): 13.420
data_NiPd6Au3
_cell_length_a 7.450
_cell_length_b 4.657
_cell_length_c 9.806
_cell_angle_alpha 90.00
_cell_angle_beta 110.43
_cell_angle_gamma 90.00
_symmetry_space_group_name_H-M 'P 1 21/m 1'
_symmetry_Int_Tables_number 11
loop_
_symmetry_equiv_pos_as_xyz
'x,y,z'
'-x,-y,-z'
'-x,y+1/2,-z'
'x,-y+1/2,z'
loop_
_atom_site_label
_atom_site_type_symbol
_atom_site_fract_x
_atom_site_fract_y
_atom_site_fract_z
Ni1 Ni 0.105 0.250 0.070
Pd1 Pd 0.088 0.750 0.216
Pd2 Pd 0.105 0.250 0.570
Pd3 Pd 0.278 0.750 0.030
Pd4 Pd 0.296 0.250 0.360
Pd5 Pd 0.491 0.250 0.168
Pd6 Pd 0.493 0.750 0.330
Au1 Au 0.097 0.750 0.732
Au2 Au 0.299 0.750 0.527
Au3 Au 0.313 0.250 0.873

5.
# GGA-PBE NiPdAu6, relaxed
# Raw total energy (eV per atom): -3.815
# Fermi-level density of states (states/eV/cell): 12.0
# Total magnetic moment (μB per cell): 0.41
# ρ (g cm⁻³): 16.534
data_NiPdAu6
_cell_length_a 4.109
_cell_length_b 4.109
_cell_length_c 16.022
_cell_angle_alpha 90.00
_cell_angle_beta 90.00
_cell_angle_gamma 90.00
_symmetry_space_group_name_H-M 'I 4/m m m'
_symmetry_Int_Tables_number 139
_symmetry_space_group_name_Hall '-I 4 2'
loop_
_atom_site_label
_atom_site_type_symbol
_atom_site_fract_x
_atom_site_fract_y
_atom_site_fract_z
Ni1 Ni 0.000 0.000 0.000
Pd1 Pd 0.000 0.000 0.500
Au1 Au 0.000 0.000 0.251
Au2 Au 0.000 0.500 0.117

6.
# GGA-PBE NiPd2Au, relaxed
# Raw total energy (eV per atom): -4.819
# Fermi-level density of states (states/eV/cell): 17.4
# Total magnetic moment (μB per cell): 4.03
# ρ (g cm⁻³): 12.769
data_NiPd2Au
_cell_length_a 2.8084
_cell_length_b 2.8084
_cell_length_c 26.7601
_cell_angle_alpha 90.00
_cell_angle_beta 90.00
_cell_angle_gamma 120.00
_symmetry_space_group_name_H-M 'R 3 m'
_symmetry_Int_Tables_number 160
_symmetry_space_group_name_Hall 'R 3 -2"'
loop_
_atom_site_label
_atom_site_type_symbol
_atom_site_fract_x
_atom_site_fract_y
_atom_site_fract_z
Ni1 Ni 0.0000 0.0000 0.0000
Pd1 Pd 0.0000 0.0000 0.4090
Pd2 Pd 0.0000 0.0000 0.5907
Au1 Au 0.0000 0.0000 0.8329

7.
# GGA-PBE Ni6Pd12Au, relaxed
# Raw total energy (eV per atom): -5.107
# Fermi-level density of states (states/eV/cell): 51.7
# Total magnetic moment (μB per cell): 17.23
# ρ (g cm⁻³): 10.657
data_Ni6Pd12Au
_cell_length_a 8.287
_cell_length_b 8.287
_cell_length_c 8.287
_cell_angle_alpha 90.00
_cell_angle_beta 90.00
_cell_angle_gamma 90.00
_symmetry_space_group_name_H-M 'I m -3'
_symmetry_Int_Tables_number 204
_symmetry_space_group_name_Hall '-I 2 2 3'
loop_
_atom_site_label
_atom_site_type_symbol
_atom_site_fract_x
_atom_site_fract_y
_atom_site_fract_z
Ni1 Ni 0.000 0.365 0.500
Pd1 Pd 0.000 0.185 0.275
Au1 Au 0.000 0.000 0.000

8.
# GGA-PBE NiPd2Au3, relaxed
# Raw total energy (eV per atom): -4.327
# Fermi-level density of states (states/eV/cell): 33.5
# Total magnetic moment (μB per cell): 2.46
# ρ (g cm⁻³): 14.874
data_NiPd2Au3
_cell_length_a 4.053
_cell_length_b 12.178
_cell_length_c 7.803
_cell_angle_alpha 90.00
_cell_angle_beta 90.00
_cell_angle_gamma 90.00
_symmetry_space_group_name_H-M 'C m m m'
_symmetry_Int_Tables_number 65
_symmetry_space_group_name_Hall '-C 2 2'
loop_
_atom_site_label
_atom_site_type_symbol
_atom_site_fract_x
_atom_site_fract_y
_atom_site_fract_z
Ni1 Ni 0.000 0.169 0.000
Pd1 Pd 0.000 0.167 0.500
Pd2 Pd 0.000 0.500 0.000
Pd3 Pd 0.000 0.500 0.500
Au1 Au 0.000 0.000 0.244
Au2 Au 0.000 0.331 0.238

9.
# GGA-PBE NiPd8Au2, relaxed
# Excess energy over the best structure of this formula in the dataset (meV per atom): 0
# Fermi-level density of states (states/eV/cell): 19.8
# Total magnetic moment (μB per cell): 2.94
# ρ (g cm⁻³): 12.625
data_NiPd8Au2
_cell_length_a 4.865
_cell_length_b 4.868
_cell_length_c 7.393
_cell_angle_alpha 83.41
_cell_angle_beta 89.75
_cell_angle_gamma 80.45
_symmetry_space_group_name_H-M 'P -1'
_symmetry_Int_Tables_number 2
loop_
_symmetry_equiv_pos_as_xyz
'x,y,z'
'-x,-y,-z'
loop_
_atom_site_label
_atom_site_type_symbol
_atom_site_fract_x
_atom_site_fract_y
_atom_site_fract_z
Ni1 Ni 0.000 0.000 0.000
Pd1 Pd 0.092 0.461 0.176
Pd2 Pd 0.181 0.910 0.355
Pd3 Pd 0.269 0.365 0.543
Pd4 Pd 0.452 0.266 0.911
Au1 Au 0.357 0.816 0.729

10.
# GGA-PBE NiPd6Au, relaxed
# Raw total energy (eV per atom): -5.029
# Fermi-level density of states (states/eV/cell): 14.1
# Total magnetic moment (μB per cell): 1.82
# ρ (g cm⁻³): 12.136
data_NiPd6Au
_cell_length_a 3.952
_cell_length_b 3.952
_cell_length_c 7.833
_cell_angle_alpha 90.00
_cell_angle_beta 90.00
_cell_angle_gamma 90.00
_symmetry_space_group_name_H-M 'P 4/m m m'
_symmetry_Int_Tables_number 123
_symmetry_space_group_name_Hall '-P 4 2'
loop_
_atom_site_label
_atom_site_type_symbol
_atom_site_fract_x
_atom_site_fract_y
_atom_site_fract_z
Ni1 Ni 0.000 0.000 0.000
Pd1 Pd 0.000 0.500 0.238
Pd2 Pd 0.500 0.500 0.000
Pd3 Pd 0.500 0.500 0.500
Au1 Au 0.000 0.000 0.500

11.
# GGA-PBE NiPd2Au8, relaxed
# Raw total energy (eV per atom): -3.721
# Fermi-level density of states (states/eV/cell): 13.2
# Total magnetic moment (μB per cell): 0.36
# ρ (g cm⁻³): 15.294
data_NiPd2Au8
_cell_length_a 7.898
_cell_length_b 12.651
_cell_length_c 5.380
_cell_angle_alpha 90.00
_cell_angle_beta 131.74
_cell_angle_gamma 90.00
_symmetry_space_group_name_H-M 'C 1 2/m 1'
_symmetry_Int_Tables_number 12
loop_
_symmetry_equiv_pos_as_xyz
'x,y,z'
'-x,-y,-z'
'-x,y,-z'
'x,-y,z'
'x+1/2,y+1/2,z'
'-x+1/2,-y+1/2,-z'
'-x+1/2,y+1/2,-z'
'x+1/2,-y+1/2,z'
loop_
_atom_site_label
_atom_site_type_symbol
_atom_site_fract_x
_atom_site_fract_y
_atom_site_fract_z
Ni1 Ni 0.000 0.000 0.000
Pd1 Pd 0.000 0.304 0.500
Au1 Au 0.000 0.219 0.000
Au2 Au 0.117 0.500 0.840
Au3 Au 0.209 0.110 0.581

12.
# GGA-PBE NiPdAu, relaxed
# Excess energy over the best structure of this formula in the dataset (meV per atom): 30
# Fermi-level density of states (states/eV/cell): 10.1
# Total magnetic moment (μB per cell): 1.47
# ρ (g cm⁻³): 13.472
data_NiPdAu
_cell_length_a 2.828
_cell_length_b 2.828
_cell_length_c 11.164
_cell_angle_alpha 90.00
_cell_angle_beta 90.00
_cell_angle_gamma 90.00
_symmetry_space_group_name_H-M 'I 4 m m'
_symmetry_Int_Tables_number 107
_symmetry_space_group_name_Hall 'I 4 -2'
loop_
_atom_site_label
_atom_site_type_symbol
_atom_site_fract_x
_atom_site_fract_y
_atom_site_fract_z
Ni1 Ni 0.000 0.000 0.000
Pd1 Pd 0.000 0.000 0.650
Au1 Au 0.000 0.000 0.337

13.
# GGA-PBE NiPd5Au6, relaxed
# Raw total energy (eV per atom): -4.313
# Fermi-level density of states (states/eV/cell): 25.2
# Total magnetic moment (μB per cell): 1.58
# ρ (g cm⁻³): 14.941
data_NiPd5Au6
_cell_length_a 4.045
_cell_length_b 8.051
_cell_length_c 12.100
_cell_angle_alpha 90.00
_cell_angle_beta 90.00
_cell_angle_gamma 90.00
_symmetry_space_group_name_H-M 'I m m m'
_symmetry_Int_Tables_number 71
_symmetry_space_group_name_Hall '-I 2 2'
loop_
_atom_site_label
_atom_site_type_symbol
_atom_site_fract_x
_atom_site_fract_y
_atom_site_fract_z
Ni1 Ni 0.000 0.000 0.000
Pd1 Pd 0.000 0.000 0.334
Pd2 Pd 0.000 0.500 0.000
Pd3 Pd 0.000 0.500 0.336
Au1 Au 0.000 0.247 0.165
Au2 Au 0.000 0.255 0.500

14.
# GGA-PBE Ni4Pd15Au, relaxed
# Raw total energy (eV per atom): -5.183
# Fermi-level density of states (states/eV/cell): 47.7
# Total magnetic moment (μB per cell): 0.57
# ρ (g cm⁻³): 11.380
data_Ni4Pd15Au
_cell_length_a 3.903
_cell_length_b 3.903
_cell_length_c 19.425
_cell_angle_alpha 90.00
_cell_angle_beta 90.00
_cell_angle_gamma 90.00
_symmetry_space_group_name_H-M 'P 4/m m m'
_symmetry_Int_Tables_number 123
_symmetry_space_group_name_Hall '-P 4 2'
loop_
_atom_site_label
_atom_site_type_symbol
_atom_site_fract_x
_atom_site_fract_y
_atom_site_fract_z
Ni1 Ni 0.000 0.000 0.097
Ni2 Ni 0.000 0.000 0.295
Pd1 Pd 0.000 0.500 0.000
Pd2 Pd 0.000 0.500 0.197
Pd3 Pd 0.000 0.500 0.392
Pd4 Pd 0.500 0.500 0.098
Pd5 Pd 0.500 0.500 0.294
Pd6 Pd 0.500 0.500 0.500
Au1 Au 0.000 0.000 0.500

15.
# GGA-PBE NiPd2Au, relaxed
# Raw total energy (eV per atom): -4.521
# Fermi-level density of states (states/eV/cell): 33.5
# Total magnetic moment (μB per cell): 0.00
# ρ (g cm⁻³): 11.880
data_NiPd2Au
_cell_length_a 7.050
_cell_length_b 7.050
_cell_length_c 5.271
_cell_angle_alpha 90.00
_cell_angle_beta 90.00
_cell_angle_gamma 90.00
_symmetry_space_group_name_H-M 'I -4 2 d'
_symmetry_Int_Tables_number 122
_symmetry_space_group_name_Hall 'I -4 2bw'
loop_
_atom_site_label
_atom_site_type_symbol
_atom_site_fract_x
_atom_site_fract_y
_atom_site_fract_z
Ni1 Ni 0.000 0.000 0.000
Pd1 Pd 0.220 0.750 0.125
Au1 Au 0.000 0.000 0.500

16.
# GGA-PBE NiPd3Au, relaxed
# Excess energy over the best structure of this formula in the dataset (meV per atom): 0
# Fermi-level density of states (states/eV/cell): 50.1
# Total magnetic moment (μB per cell): 11.75
# ρ (g cm⁻³): 12.371
data_NiPd3Au
_cell_length_a 11.738
_cell_length_b 10.850
_cell_length_c 4.978
_cell_angle_alpha 90.00
_cell_angle_beta 103.14
_cell_angle_gamma 90.00
_symmetry_space_group_name_H-M 'C 1 2/c 1'
_symmetry_Int_Tables_number 15
loop_
_symmetry_equiv_pos_as_xyz
'x,y,z'
'-x,-y,-z'
'-x,y,-z+1/2'
'x,-y,z+1/2'
'x+1/2,y+1/2,z'
'-x+1/2,-y+1/2,-z'
'-x+1/2,y+1/2,-z+1/2'
'x+1/2,-y+1/2,z+1/2'
loop_
_atom_site_label
_atom_site_type_symbol
_atom_site_fract_x
_atom_site_fract_y
_atom_site_fract_z
Ni1 Ni 0.000 0.086 0.250
Ni2 Ni 0.000 0.129 0.750
Pd1 Pd 0.098 0.300 0.506
Pd2 Pd 0.178 0.185 0.108
Pd3 Pd 0.192 0.066 0.609
Au1 Au 0.105 0.433 0.987

17.
# GGA-PBE Ni2Pd2Au, relaxed
# Excess energy over the best structure of this formula in the dataset (meV per atom): 197
# Fermi-level density of states (states/eV/cell): 14.9
# Total magnetic moment (μB per cell): 3.74
# ρ (g cm⁻³): 11.291
data_Ni2Pd2Au
_cell_length_a 3.725
_cell_length_b 3.725
_cell_length_c 11.173
_cell_angle_alpha 90.00
_cell_angle_beta 90.00
_cell_angle_gamma 90.00
_symmetry_space_group_name_H-M 'I 4/m m m'
_symmetry_Int_Tables_number 139
_symmetry_space_group_name_Hall '-I 4 2'
loop_
_atom_site_label
_atom_site_type_symbol
_atom_site_fract_x
_atom_site_fract_y
_atom_site_fract_z
Ni1 Ni 0.000 0.000 0.098
Pd1 Pd 0.000 0.500 0.250
Au1 Au 0.000 0.000 0.500

18.
# GGA-PBE NiPd3Au, relaxed
# Excess energy over the best structure of this formula in the dataset (meV per atom): 27
# Fermi-level density of states (states/eV/cell): 15.0
# Total magnetic moment (μB per cell): 3.26
# ρ (g cm⁻³): 12.139
data_NiPd3Au
_cell_length_a 4.043
_cell_length_b 6.229
_cell_length_c 6.987
_cell_angle_alpha 69.94
_cell_angle_beta 73.19
_cell_angle_gamma 89.93
_symmetry_space_group_name_H-M 'P -1'
_symmetry_Int_Tables_number 2
loop_
_symmetry_equiv_pos_as_xyz
'x,y,z'
'-x,-y,-z'
loop_
_atom_site_label
_atom_site_type_symbol
_atom_site_fract_x
_atom_site_fract_y
_atom_site_fract_z
Ni1 Ni 0.048 0.202 0.406
Pd1 Pd 0.112 0.645 0.277
Pd2 Pd 0.226 0.128 0.048
Pd3 Pd 0.423 0.089 0.656
Au1 Au 0.330 0.605 0.840

19.
# GGA-PBE Ni2Pd2Au, relaxed
# Excess energy over the best structure of this formula in the dataset (meV per atom): 0
# Fermi-level density of states (states/eV/cell): 17.1
# Total magnetic moment (μB per cell): 3.45
# ρ (g cm⁻³): 12.020
data_Ni2Pd2Au
_cell_length_a 7.222
_cell_length_b 7.222
_cell_length_c 2.793
_cell_angle_alpha 90.00
_cell_angle_beta 90.00
_cell_angle_gamma 90.00
_symmetry_space_group_name_H-M 'P 4/m b m'
_symmetry_Int_Tables_number 127
_symmetry_space_group_name_Hall '-P 4 2ab'
loop_
_atom_site_label
_atom_site_type_symbol
_atom_site_fract_x
_atom_site_fract_y
_atom_site_fract_z
Ni1 Ni 0.118 0.382 0.000
Pd1 Pd 0.176 0.676 0.500
Au1 Au 0.000 0.000 0.000

20.
# GGA-PBE NiPd6Au3, relaxed
# Excess energy over the best structure of this formula in the dataset (meV per atom): 146
# Fermi-level density of states (states/eV/cell): 10.8
# Total magnetic moment (μB per cell): 1.21
# ρ (g cm⁻³): 12.893
data_NiPd6Au3
_cell_length_a 5.1792
_cell_length_b 5.1792
_cell_length_c 7.1418
_cell_angle_alpha 90.00
_cell_angle_beta 90.00
_cell_angle_gamma 120.00
_symmetry_space_group_name_H-M 'P -3 1 m'
_symmetry_Int_Tables_number 162
_symmetry_space_group_name_Hall '-P 3 2'
loop_
_atom_site_label
_atom_site_type_symbol
_atom_site_fract_x
_atom_site_fract_y
_atom_site_fract_z
Ni1 Ni 0.0000 0.0000 0.0000
Pd1 Pd 0.0000 0.3948 0.8227
Au1 Au 0.0000 0.0000 0.5000
Au2 Au 0.3333 0.6667 0.5000